1) Here is an optimized crystal structure of Cr3PdBr from the Alexandria database. Energies are from PBE.

a b c (Å): 4.9967 4.9967 4.9967
angles (deg): 90.00 90.00 90.00
Atoms (fractional coordinates):
Cr 0.0000 0.0000 0.5000
Cr 0.0000 0.5000 0.0000
Cr 0.5000 0.0000 0.0000
Pd 0.0000 0.0000 0.0000
Br 0.5000 0.5000 0.5000

The mass density comes out at 4.6 g/cm³.

***

2) Here is an optimized crystal structure of Cr3PdBr from the Alexandria database. Energies are from PBE.

a b c (Å): 4.3281 4.3281 4.3281
angles (deg): 90.00 90.00 90.00
Atoms (fractional coordinates):
Cr 0.0000 0.0000 0.5000
Cr 0.0000 0.5000 0.0000
Cr 0.5000 0.0000 0.0000
Pd 0.5000 0.5000 0.5000
Br 0.0000 0.0000 0.0000

The mass density comes out at 7.0 g/cm³.

***

What should be chosen as the most stable of them? Choose 1).

***

1) Here is an optimized crystal structure of CrPdBr2 from the Alexandria database. Energies are from PBE.

a b c (Å): 6.8219 6.8219 6.8219
angles (deg): 90.00 90.00 90.00
Atoms (fractional coordinates):
Cr 0.0000 0.0000 0.0000
Cr 0.0000 0.5000 0.5000
Cr 0.5000 0.0000 0.5000
Cr 0.5000 0.5000 0.0000
Pd 0.0000 0.0000 0.5000
Pd 0.0000 0.5000 0.0000
Pd 0.5000 0.0000 0.0000
Pd 0.5000 0.5000 0.5000
Br 0.2500 0.2500 0.2500
Br 0.2500 0.2500 0.7500
Br 0.2500 0.7500 0.2500
Br 0.2500 0.7500 0.7500
Br 0.7500 0.2500 0.2500
Br 0.7500 0.2500 0.7500
Br 0.7500 0.7500 0.2500
Br 0.7500 0.7500 0.7500

The mass density comes out at 6.7 g/cm³.

***

2) Here is an optimized crystal structure of CrPdBr2 from the Alexandria database. Energies are from PBE.

a b c (Å): 5.5991 5.5991 13.3672
angles (deg): 90.00 90.00 90.00
Atoms (fractional coordinates):
Cr 0.0000 0.0000 0.0000
Cr 0.0000 0.5000 0.2500
Cr 0.5000 0.0000 0.7500
Cr 0.5000 0.5000 0.5000
Pd 0.0000 0.0000 0.5000
Pd 0.0000 0.5000 0.7500
Pd 0.5000 0.0000 0.2500
Pd 0.5000 0.5000 0.0000
Br 0.2394 0.2500 0.1250
Br 0.2500 0.7394 0.3750
Br 0.2500 0.7606 0.8750
Br 0.2606 0.2500 0.6250
Br 0.7394 0.7500 0.6250
Br 0.7500 0.2394 0.8750
Br 0.7500 0.2606 0.3750
Br 0.7606 0.7500 0.1250

The mass density comes out at 5.0 g/cm³.

***

3) Here is an optimized crystal structure of CrPdBr2 from the Alexandria database. Energies are from PBE.

a b c (Å): 3.7852 3.7852 23.9788
angles (deg): 90.00 90.00 120.00
Atoms (fractional coordinates):
Cr 0.0000 0.0000 0.0000
Cr 0.3333 0.6667 0.6667
Cr 0.6667 0.3333 0.3333
Pd 0.0000 0.0000 0.5000
Pd 0.3333 0.6667 0.1667
Pd 0.6667 0.3333 0.8333
Br 0.0000 0.0000 0.3973
Br 0.0000 0.0000 0.6027
Br 0.3333 0.6667 0.0639
Br 0.3333 0.6667 0.2694
Br 0.6667 0.3333 0.7306
Br 0.6667 0.3333 0.9361

The mass density comes out at 5.3 g/cm³.

***

What should be chosen as the most stable of them? Choose 3).